Material: PrAs
Method: DFT, GGA-PBE
State: relaxed

```
PrAs
1.0
0.000 3.044 3.044
3.044 0.000 3.044
3.044 3.044 0.000
As Pr
1 1
Cartesian
0.000 0.000 0.000
3.044 3.044 3.044
```

Summary:
Calculated density in Mg/m³: 6.35
Energy in eV for the cell shown: -12.431

Material: SmNpU
Method: DFT, GGA-PBE
State: relaxed

```
SmNpU
1.0
0.000 3.494 3.494
3.494 0.000 3.494
3.494 3.494 0.000
Sm Np U
1 1 1
Cartesian
5.241 5.241 5.241
1.747 1.747 1.747
0.000 0.000 0.000
```

Summary:
Calculated density in Mg/m³: 12.18
Formation energy from the elements in eV/atom: 1.167
Energy in eV for the cell shown: -25.276

Material: Mg3Au4
Method: DFT, GGA-PBE
State: relaxed

```
Mg3Au4
1.0
-6.669 -1.113 2.945
1.080 -3.607 -6.341
5.531 -0.755 4.818
Mg Au
6 8
Cartesian
2.528 -3.861 0.888
1.170 -2.252 -1.770
-1.421 -4.339 -1.113
1.363 -1.135 2.535
-1.228 -3.222 3.192
-2.585 -1.614 0.534
3.986 -2.375 2.721
-0.029 -2.737 0.711
0.000 0.000 0.000
3.744 -3.283 -1.689
-0.275 -3.976 -3.613
0.217 -1.498 5.035
-3.801 -2.192 3.112
-4.044 -3.099 -1.298
```

Summary:
Calculated density in Mg/m³: 11.48
Energy in eV for the cell shown: -43.190

Material: ZnSn2Hg
Method: DFT, GGA-PBE
State: relaxed

```
ZnSn2Hg
1.0
0.000 3.675 3.675
3.675 0.000 3.675
3.675 3.675 0.000
Sn Zn Hg
2 1 1
Cartesian
0.000 0.000 0.000
1.838 1.838 1.838
5.513 5.513 5.513
3.675 3.675 3.675
```

Summary:
Calculated density in Mg/m³: 8.42
Energy in eV for the cell shown: -9.047

Material: BaDyOs
Method: DFT, GGA-PBE
State: relaxed

```
BaDyOs
1.0
0.000 3.530 3.530
3.530 0.000 3.530
3.530 3.530 0.000
Dy Ba Os
1 1 1
Cartesian
5.295 5.295 5.295
1.765 1.765 1.765
0.000 0.000 0.000
```

Summary:
Calculated density in Mg/m³: 9.25
Energy in eV for the cell shown: -16.503

Material: TbNi2Ir2
Method: DFT, GGA-PBE
State: relaxed

```
TbNi2Ir2
1.0
4.579 0.668 3.685
0.324 4.179 4.174
-3.658 -4.137 -2.120
Ni Tb Ir
2 1 2
Cartesian
1.931 1.909 3.096
2.972 2.938 4.764
0.000 0.000 0.000
-0.441 1.233 2.992
1.686 -0.523 2.748
```

Summary:
Calculated density in Mg/m³: 13.69
Formation energy from the elements in eV/atom: -0.222
Energy in eV for the cell shown: -34.586

Material: BaTbTe
Method: DFT, GGA-PBE
State: relaxed

```
BaTbTe
1.0
3.108 -1.793 4.073
-0.092 2.530 4.801
-2.280 -2.411 4.295
Ba Te Tb
1 1 1
Cartesian
0.184 -0.419 3.292
0.000 0.000 0.000
0.552 -1.256 9.877
```

Summary:
Calculated density in Mg/m³: 6.22
Energy in eV for the cell shown: -11.200

Material: PuSiOs
Method: DFT, GGA-PBE
State: relaxed

```
PuSiOs
1.0
-3.936 -0.756 1.864
-1.059 1.979 3.808
-3.066 3.184 0.058
Os Pu Si
1 1 1
Cartesian
-2.016 1.102 1.433
0.000 0.000 0.000
-6.046 3.305 4.298
```

Summary:
Calculated density in Mg/m³: 12.57
Energy in eV for the cell shown: -28.725

Material: ErAgAsO
Method: DFT, GGA-PBE
State: relaxed

```
ErAgAsO
1.0
-0.683 1.333 -3.622
-3.851 -0.478 0.550
-0.608 8.724 3.326
Ag As Er O
2 2 2 2
Cartesian
-0.304 4.362 1.663
-2.571 4.789 0.127
-0.524 3.280 -0.815
-2.352 5.871 2.605
-0.881 8.401 1.138
-1.995 0.750 0.652
0.000 0.000 0.000
-2.267 0.428 -1.536
```

Summary:
Calculated density in Mg/m³: 8.46
Energy in eV for the cell shown: -46.968

Material: MgBeZnSn
Method: DFT, GGA-PBE
State: relaxed

```
MgBeZnSn
1.0
3.707 2.678 0.959
-0.515 3.869 2.569
1.703 0.162 4.348
Be Sn Mg Zn
1 1 1 1
Cartesian
3.672 5.032 5.907
0.000 0.000 0.000
1.224 1.677 1.969
2.448 3.355 3.938
```

Summary:
Calculated density in Mg/m³: 5.00
Energy in eV for the cell shown: -9.229

Material: PrGaSnPt2
Method: DFT, GGA-PBE
State: relaxed

```
PrGaSnPt2
1.0
-1.826 1.706 -3.730
-4.045 -1.430 1.326
-1.608 9.165 4.980
Sn Ga Pt Pr
2 2 4 2
Cartesian
-2.244 0.548 1.349
-2.300 8.755 2.429
-0.804 4.582 2.490
-3.740 4.720 1.288
-2.935 0.138 -1.202
-2.641 2.808 2.577
0.000 0.000 0.000
-1.903 6.494 1.200
-1.336 3.264 -0.555
-3.208 6.039 4.333
```

Summary:
Calculated density in Mg/m³: 11.23
Energy in eV for the cell shown: -56.740

Material: Ni3I
Method: DFT, GGA-PBE
State: relaxed

```
Ni3I
1.0
-1.894 1.894 3.800
1.894 -1.894 3.800
1.894 1.894 -3.800
Ni I
3 1
Cartesian
0.000 1.894 1.900
1.894 0.000 1.900
0.000 0.000 3.800
0.000 0.000 0.000
```

Summary:
Calculated density in Mg/m³: 9.22
Energy in eV for the cell shown: -16.220